# GGA-PBE Nb2Re2Se, relaxed
# Calculated volume ... 180.2 Å³/cell
# Space group ... No. 127
# ρ ... 11745 kg/m3
# M_tot ... 0.0 μB/f.u.
# Formation energy (no corrections) ... 0.390 eV/atom
data_Nb2Re2Se
_cell_length_a 7.636
_cell_length_b 7.636
_cell_length_c 3.090
_cell_angle_alpha 90.00
_cell_angle_beta 90.00
_cell_angle_gamma 90.00
_space_group_name_H-M_alt 'P 1'
_space_group_IT_number 1
_space_group_name_Hall 'P 1'
loop_
_atom_site_label
_atom_site_type_symbol
_atom_site_fract_x
_atom_site_fract_y
_atom_site_fract_z
_atom_site_occupancy
Re1 Re 0.362 0.862 0.000 1
Re2 Re 0.862 0.638 0.000 1
Re3 Re 0.638 0.138 0.000 1
Re4 Re 0.138 0.362 0.000 1
Nb1 Nb 0.152 0.652 0.500 1
Nb2 Nb 0.652 0.848 0.500 1
Nb3 Nb 0.848 0.348 0.500 1
Nb4 Nb 0.348 0.152 0.500 1
Se1 Se 0.000 0.000 0.000 1
Se2 Se 0.500 0.500 0.000 1

=====

# GGA-PBE CdSiAg2, relaxed
# Calculated volume ... 73.3 Å³/cell
# Space group ... No. 10
# ρ ... 8066 kg/m3
# M_tot ... 0.0 μB/f.u.
# Formation energy (no corrections) ... 0.191 eV/atom
data_CdSiAg2
_cell_length_a 4.463
_cell_length_b 2.955
_cell_length_c 5.786
_cell_angle_alpha 73.99
_cell_angle_beta 90.00
_cell_angle_gamma 90.00
_space_group_name_H-M_alt 'P 1'
_space_group_IT_number 1
_space_group_name_Hall 'P 1'
loop_
_atom_site_label
_atom_site_type_symbol
_atom_site_fract_x
_atom_site_fract_y
_atom_site_fract_z
_atom_site_occupancy
Ag1 Ag 0.000 0.867 0.986 1
Ag2 Ag 0.000 0.633 0.514 1
Cd1 Cd 0.500 0.250 0.250 1
Si1 Si 0.500 0.750 0.750 1

=====

# GGA-PBE SmYScCd, relaxed
# Calculated volume ... 110.4 Å³/cell
# Space group ... No. 216
# ρ ... 5965 kg/m3
# Energy of formation ... -57 meV per atom
# M_tot ... 0.1 μB/f.u.
data_SmYScCd
_cell_length_a 5.385
_cell_length_b 5.385
_cell_length_c 5.385
_cell_angle_alpha 60.00
_cell_angle_beta 60.00
_cell_angle_gamma 60.00
_space_group_name_H-M_alt 'P 1'
_space_group_IT_number 1
_space_group_name_Hall 'P 1'
loop_
_atom_site_label
_atom_site_type_symbol
_atom_site_fract_x
_atom_site_fract_y
_atom_site_fract_z
_atom_site_occupancy
Y1 Y 0.750 0.750 0.750 1
Sc1 Sc 0.500 0.500 0.500 1
Sm1 Sm 0.250 0.250 0.250 1
Cd1 Cd 0.000 0.000 0.000 1